First-principles (PBE+U) data for Na3Cr3GeO8 after structural relaxation, as listed in Alexandria.

Results
Its final energy is -6.61 eV/atom. The calculation puts the density of states at the Fermi level at 0.00 states/eV/f.u.

a = 6.0027 Å, b = 6.0027 Å, c = 16.4367 Å
α = 90.00°, β = 90.00°, γ = 120.00°
Space group R-3m (No. 166, hexagonal axes)
One atom of each set of equivalent atoms:
Na 0.0000 0.5000 0.0000 x9
Cr 0.0000 0.5000 0.5000 x9
Ge 0.0000 0.0000 0.5000 x3
O 0.0000 0.0000 0.2312 x6
O 0.0158 0.5079 0.2294 x18